# 1
## CeGaNi (GGA-PBE)

Data for a relaxed CeGaNi crystal.

The structure in POSCAR format:
```
CeGaNi
1.0
4.353 0.000 0.000
-2.176 3.769 0.000
0.000 0.000 3.502
Ce Ga Ni
1 1 1
Cartesian
0.000 0.000 0.000 Ce
0.000 2.513 1.751 Ga
2.176 1.256 1.751 Ni
```

Its space group is P-6m2. For the total magnetic moment, the calculation gives 0.00 Bohr magnetons per cell. For the formation energy, the calculation gives -0.54 eV/atom. The value obtained for the density is 7.76 Mg/m³.

# 2
## Cs6Hg2Au (GGA-PBE)

Data for a relaxed Cs6Hg2Au crystal.

The structure in POSCAR format:
```
Cs6Hg2Au
1.0
-6.262 6.714 6.758
6.262 -6.714 6.758
6.262 6.714 -6.758
Cs Hg Au
12 4 2
Cartesian
6.262 -3.756 4.076 Cs
3.654 2.273 0.000 Cs
8.871 2.273 0.000 Cs
2.902 6.714 -2.200 Cs
3.360 0.000 4.557 Cs
0.000 2.958 2.681 Cs
6.262 3.756 4.076 Cs
2.902 6.714 2.200 Cs
3.360 0.000 8.958 Cs
-2.608 4.442 6.758 Cs
2.608 4.442 6.758 Cs
0.000 10.471 2.681 Cs
6.262 0.000 1.608 Hg
6.262 5.225 0.000 Hg
0.000 1.490 6.758 Hg
0.000 6.714 5.150 Hg
0.000 0.000 0.000 Au
0.000 6.714 0.000 Au
```

Its space group is Immm. For the total magnetic moment, the calculation gives 0.00 Bohr magnetons per cell. For the formation energy, the calculation gives -0.15 eV/atom. The value obtained for the density is 4.08 Mg/m³. The value obtained for the offset from the most stable computed form is 26.6 meV per atom.